--- i ---
Compound: AcLaCl
Source: Alexandria
Functional: GGA-PBE
Structure: optimized geometry

Cell lengths 6.5602, 7.4234, 8.6078 Å; angles 89.97, 87.15, 89.99 degrees
Space group P-1 (No. 2)
Unique sites:
Ac 0.2420 0.4134 0.3690 (multiplicity 2)
Ac 0.2574 0.9139 0.1312 (multiplicity 2)
La 0.2432 0.9224 0.6237 (multiplicity 2)
La 0.2574 0.4216 0.8766 (multiplicity 2)
Cl 0.0083 0.7471 0.8803 (multiplicity 2)
Cl 0.4925 0.2480 0.6195 (multiplicity 2)

Calculated density   6.37 Mg/m³



--- ii ---
Compound: AcLaCl
Source: Alexandria
Functional: GGA-PBE
Structure: optimized geometry

Cell lengths 4.3702, 4.3702, 6.4507 Å; angles 90.00, 90.00, 120.00 degrees
Space group P3m1 (No. 156)
Unique sites:
Ac 0.0000 0.0000 0.0000 (multiplicity 1)
La 0.3333 0.6667 0.5096 (multiplicity 1)
Cl 0.6667 0.3333 0.2773 (multiplicity 1)

Calculated density   6.25 Mg/m³



The structure shown above that is least stable: ii.